# 1
# Nd2Sm5TmSc, optimized geometry, DFT PBE
# - Theoretical density: 7.00 g/cm3
# - SG: I4/mcm (140)
# - ΔH_f (0 K): 0.28 eV/atom
# - Total moment: 0.00 μB/f.u.
# - Final energy: -4.60 eV per atom
# - V: 594.8 Å³ per cell
data_Nd2Sm5TmSc
_chemical_formula_sum 'Nd4 Sm10 Tm2 Sc2'
_cell_length_a 8.414
_cell_length_b 8.414
_cell_length_c 10.296
_cell_angle_alpha 114.12
_cell_angle_beta 114.12
_cell_angle_gamma 90.00
_symmetry_space_group_name_H-M 'P 1'
_symmetry_Int_Tables_number 1
_symmetry_space_group_name_Hall 'P 1'
loop_
_atom_site_label
_atom_site_type_symbol
_atom_site_fract_x
_atom_site_fract_y
_atom_site_fract_z
Sm1 Sm 0.364 0.864 0.292
Sm2 Sm 0.072 0.572 0.708
Sm3 Sm 0.000 0.000 0.000
Sm4 Sm 0.572 0.636 0.708
Sm5 Sm 0.136 0.072 0.708
Sm6 Sm 0.500 0.500 0.000
Sm7 Sm 0.928 0.428 0.292
Sm8 Sm 0.636 0.136 0.708
Sm9 Sm 0.428 0.364 0.292
Sm10 Sm 0.864 0.928 0.292
Nd1 Nd 0.624 0.124 0.000
Nd2 Nd 0.124 0.376 0.000
Nd3 Nd 0.876 0.624 0.000
Nd4 Nd 0.376 0.876 0.000
Sc1 Sc 0.750 0.250 0.500
Sc2 Sc 0.250 0.750 0.500
Tm1 Tm 0.750 0.750 0.500
Tm2 Tm 0.250 0.250 0.500

***

# 2
# AlZn, optimized geometry, DFT PBE
# - Theoretical density: 4.85 g/cm3
# - SG: P4/nmm (129)
# - ΔH_f (0 K): 0.02 eV/atom
# - Total moment: 0.00 μB/f.u.
# - Final energy: -2.49 eV per atom
# - V: 63.2 Å³ per cell
data_AlZn
_chemical_formula_sum 'Al2 Zn2'
_cell_length_a 2.835
_cell_length_b 2.835
_cell_length_c 7.871
_cell_angle_alpha 90.00
_cell_angle_beta 90.00
_cell_angle_gamma 90.00
_symmetry_space_group_name_H-M 'P 1'
_symmetry_Int_Tables_number 1
_symmetry_space_group_name_Hall 'P 1'
loop_
_atom_site_label
_atom_site_type_symbol
_atom_site_fract_x
_atom_site_fract_y
_atom_site_fract_z
Al1 Al 0.250 0.250 0.135
Al2 Al 0.750 0.750 0.865
Zn1 Zn 0.250 0.250 0.619
Zn2 Zn 0.750 0.750 0.381

***

# 3
# ReAg3Cl, optimized geometry, DFT PBE
# - Theoretical density: 7.62 g/cm3
# - SG: Pm-3m (221)
# - Total moment: 3.84 μB/f.u.
# - Final energy: -3.00 eV per atom
# - V: 118.9 Å³ per cell
# - ΔE_f (raw): 1.570 eV/atom
data_ReAg3Cl
_chemical_formula_sum 'Re1 Ag3 Cl1'
_cell_length_a 4.917
_cell_length_b 4.917
_cell_length_c 4.917
_cell_angle_alpha 90.00
_cell_angle_beta 90.00
_cell_angle_gamma 90.00
_symmetry_space_group_name_H-M 'P 1'
_symmetry_Int_Tables_number 1
_symmetry_space_group_name_Hall 'P 1'
loop_
_atom_site_label
_atom_site_type_symbol
_atom_site_fract_x
_atom_site_fract_y
_atom_site_fract_z
Re1 Re 0.500 0.500 0.500
Ag1 Ag 0.000 0.000 0.500
Ag2 Ag 0.500 0.000 0.000
Ag3 Ag 0.000 0.500 0.000
Cl1 Cl 0.000 0.000 0.000

***

# 4
# CoI3, optimized geometry, DFT PBE
# - Theoretical density: 6.12 g/cm3
# - SG: Fm-3m (225)
# - Total moment: 2.05 μB/f.u.
# - Final energy: -2.04 eV per atom
# - V: 119.3 Å³ per cell
# - ΔE_f (raw): 0.903 eV/atom
data_CoI3
_chemical_formula_sum 'Co1 I3'
_cell_length_a 5.526
_cell_length_b 5.526
_cell_length_c 5.526
_cell_angle_alpha 60.00
_cell_angle_beta 60.00
_cell_angle_gamma 60.00
_symmetry_space_group_name_H-M 'P 1'
_symmetry_Int_Tables_number 1
_symmetry_space_group_name_Hall 'P 1'
loop_
_atom_site_label
_atom_site_type_symbol
_atom_site_fract_x
_atom_site_fract_y
_atom_site_fract_z
I1 I 0.500 0.500 0.500
I2 I 0.750 0.750 0.750
I3 I 0.250 0.250 0.250
Co1 Co 0.000 0.000 0.000

***

# 5
# Cs4Pm3PrSe8, optimized geometry, DFT PBE
# - Theoretical density: 5.15 g/cm3
# - SG: R-3m (166)
# - Total moment: 0.00 μB/f.u.
# - Final energy: -4.88 eV per atom
# - V: 561.1 Å³ per cell
# - ΔE_f (raw): -1.730 eV/atom
data_Cs4Pm3PrSe8
_chemical_formula_sum 'Cs4 Pm3 Pr1 Se8'
_cell_length_a 8.778
_cell_length_b 9.820
_cell_length_c 8.779
_cell_angle_alpha 116.57
_cell_angle_beta 120.00
_cell_angle_gamma 90.00
_symmetry_space_group_name_H-M 'P 1'
_symmetry_Int_Tables_number 1
_symmetry_space_group_name_Hall 'P 1'
loop_
_atom_site_label
_atom_site_type_symbol
_atom_site_fract_x
_atom_site_fract_y
_atom_site_fract_z
Se1 Se 0.730 0.689 0.460
Se2 Se 0.768 0.310 0.537
Se3 Se 0.270 0.311 0.540
Se4 Se 0.768 0.310 0.041
Se5 Se 0.232 0.690 0.463
Se6 Se 0.232 0.690 0.959
Se7 Se 0.727 0.690 0.959
Se8 Se 0.273 0.310 0.041
Pm1 Pm 0.500 0.500 0.000
Pm2 Pm 0.000 0.500 0.500
Pm3 Pm 0.500 0.500 0.500
Cs1 Cs 0.000 0.000 0.500
Cs2 Cs 0.500 0.000 0.500
Cs3 Cs 0.500 0.000 0.000
Cs4 Cs 0.000 0.000 0.000
Pr1 Pr 0.000 0.500 0.000

***

# 6
# Cr6IrRh5, optimized geometry, DFT PBE
# - Theoretical density: 10.59 g/cm3
# - SG: Immm (71)
# - ΔH_f (0 K): -0.09 eV/atom
# - Total moment: 2.13 μB/f.u.
# - Final energy: -8.70 eV per atom
# - V: 159.8 Å³ per cell
data_Cr6IrRh5
_chemical_formula_sum 'Cr6 Ir1 Rh5'
_cell_length_a 3.790
_cell_length_b 7.082
_cell_length_c 7.082
_cell_angle_alpha 108.76
_cell_angle_beta 105.53
_cell_angle_gamma 105.53
_symmetry_space_group_name_H-M 'P 1'
_symmetry_Int_Tables_number 1
_symmetry_space_group_name_Hall 'P 1'
loop_
_atom_site_label
_atom_site_type_symbol
_atom_site_fract_x
_atom_site_fract_y
_atom_site_fract_z
Cr1 Cr 0.250 0.414 0.085
Cr2 Cr 0.250 0.085 0.414
Cr3 Cr 0.750 0.586 0.915
Cr4 Cr 0.749 0.250 0.250
Cr5 Cr 0.251 0.750 0.750
Cr6 Cr 0.750 0.915 0.586
Rh1 Rh 0.000 0.667 0.333
Rh2 Rh 0.500 0.832 0.168
Rh3 Rh 0.000 0.333 0.667
Rh4 Rh 0.500 0.168 0.832
Rh5 Rh 0.500 0.500 0.500
Ir1 Ir 0.000 0.000 0.000

***

# 7
# Sr2YMgHg6, optimized geometry, DFT PBE
# - Theoretical density: 8.64 g/cm3
# - SG: P-1 (2)
# - ΔH_f (0 K): -0.30 eV/atom
# - Total moment: 0.00 μB/f.u.
# - Final energy: -1.62 eV per atom
# - V: 286.7 Å³ per cell
data_Sr2YMgHg6
_chemical_formula_sum 'Sr2 Y1 Mg1 Hg6'
_cell_length_a 7.353
_cell_length_b 7.805
_cell_length_c 9.551
_cell_angle_alpha 60.22
_cell_angle_beta 55.90
_cell_angle_gamma 102.39
_symmetry_space_group_name_H-M 'P 1'
_symmetry_Int_Tables_number 1
_symmetry_space_group_name_Hall 'P 1'
loop_
_atom_site_label
_atom_site_type_symbol
_atom_site_fract_x
_atom_site_fract_y
_atom_site_fract_z
Hg1 Hg 0.225 0.713 0.191
Hg2 Hg 0.890 0.867 0.416
Hg3 Hg 0.775 0.287 0.809
Hg4 Hg 0.156 0.416 0.925
Hg5 Hg 0.844 0.584 0.075
Hg6 Hg 0.110 0.133 0.584
Sr1 Sr 0.629 0.119 0.587
Sr2 Sr 0.371 0.881 0.413
Y1 Y 0.500 0.500 0.000
Mg1 Mg 0.000 0.000 0.000

***

# 8
# NbHgTe2, optimized geometry, DFT PBE
# - Theoretical density: 7.52 g/cm3
# - SG: P2 (3)
# - Total moment: 0.00 μB/f.u.
# - Final energy: -4.48 eV per atom
# - V: 242.4 Å³ per cell
# - ΔE_f (raw): -0.312 eV/atom
data_NbHgTe2
_chemical_formula_sum 'Nb2 Hg2 Te4'
_cell_length_a 3.640
_cell_length_b 6.352
_cell_length_c 10.674
_cell_angle_alpha 79.12
_cell_angle_beta 90.03
_cell_angle_gamma 90.00
_symmetry_space_group_name_H-M 'P 1'
_symmetry_Int_Tables_number 1
_symmetry_space_group_name_Hall 'P 1'
loop_
_atom_site_label
_atom_site_type_symbol
_atom_site_fract_x
_atom_site_fract_y
_atom_site_fract_z
Hg1 Hg 0.284 0.954 0.228
Hg2 Hg 0.284 0.454 0.228
Nb1 Nb 0.035 0.203 0.728
Nb2 Nb 0.528 0.704 0.728
Te1 Te 0.030 0.814 0.906
Te2 Te 0.533 0.314 0.906
Te3 Te 0.030 0.593 0.550
Te4 Te 0.533 0.093 0.550

***

# 9
# Ca3Zn3Ir2, optimized geometry, DFT PBE
# - Theoretical density: 6.70 g/cm3
# - SG: Pnma (62)
# - ΔH_f (0 K): -0.40 eV/atom
# - Total moment: 0.00 μB/f.u.
# - Final energy: -3.84 eV per atom
# - V: 695.0 Å³ per cell
data_Ca3Zn3Ir2
_chemical_formula_sum 'Ca12 Zn12 Ir8'
_cell_length_a 5.711
_cell_length_b 7.872
_cell_length_c 15.460
_cell_angle_alpha 90.00
_cell_angle_beta 90.00
_cell_angle_gamma 90.00
_symmetry_space_group_name_H-M 'P 1'
_symmetry_Int_Tables_number 1
_symmetry_space_group_name_Hall 'P 1'
loop_
_atom_site_label
_atom_site_type_symbol
_atom_site_fract_x
_atom_site_fract_y
_atom_site_fract_z
Ca1 Ca 0.870 0.822 0.250
Ca2 Ca 0.387 0.963 0.105
Ca3 Ca 0.887 0.537 0.895
Ca4 Ca 0.130 0.178 0.750
Ca5 Ca 0.630 0.322 0.250
Ca6 Ca 0.613 0.037 0.895
Ca7 Ca 0.613 0.037 0.605
Ca8 Ca 0.370 0.678 0.750
Ca9 Ca 0.387 0.963 0.395
Ca10 Ca 0.113 0.463 0.395
Ca11 Ca 0.113 0.463 0.105
Ca12 Ca 0.887 0.537 0.605
Zn1 Zn 0.597 0.339 0.750
Zn2 Zn 0.607 0.327 0.036
Zn3 Zn 0.903 0.839 0.750
Zn4 Zn 0.097 0.161 0.250
Zn5 Zn 0.607 0.327 0.464
Zn6 Zn 0.393 0.673 0.536
Zn7 Zn 0.393 0.673 0.964
Zn8 Zn 0.893 0.827 0.036
Zn9 Zn 0.107 0.173 0.536
Zn10 Zn 0.893 0.827 0.464
Zn11 Zn 0.403 0.661 0.250
Zn12 Zn 0.107 0.173 0.964
Ir1 Ir 0.611 0.619 0.108
Ir2 Ir 0.611 0.619 0.392
Ir3 Ir 0.111 0.881 0.608
Ir4 Ir 0.889 0.119 0.108
Ir5 Ir 0.111 0.881 0.892
Ir6 Ir 0.389 0.381 0.892
Ir7 Ir 0.889 0.119 0.392
Ir8 Ir 0.389 0.381 0.608

***

# 10
# NdEuDyHo, optimized geometry, DFT PBE
# - Theoretical density: 7.57 g/cm3
# - SG: F-43m (216)
# - ΔH_f (0 K): 0.15 eV/atom
# - Total moment: 7.17 μB/f.u.
# - Final energy: -5.90 eV per atom
# - V: 136.8 Å³ per cell
data_NdEuDyHo
_chemical_formula_sum 'Nd1 Eu1 Dy1 Ho1'
_cell_length_a 5.784
_cell_length_b 5.784
_cell_length_c 5.784
_cell_angle_alpha 60.00
_cell_angle_beta 60.00
_cell_angle_gamma 60.00
_symmetry_space_group_name_H-M 'P 1'
_symmetry_Int_Tables_number 1
_symmetry_space_group_name_Hall 'P 1'
loop_
_atom_site_label
_atom_site_type_symbol
_atom_site_fract_x
_atom_site_fract_y
_atom_site_fract_z
Eu1 Eu 0.750 0.750 0.750
Nd1 Nd 0.250 0.250 0.250
Dy1 Dy 0.500 0.500 0.500
Ho1 Ho 0.000 0.000 0.000

***

# 11
# NdHo3Mg6, optimized geometry, DFT PBE
# - Theoretical density: 4.89 g/cm3
# - SG: P2_1/m (11)
# - ΔH_f (0 K): -0.07 eV/atom
# - Total moment: 0.00 μB/f.u.
# - Final energy: -2.87 eV per atom
# - V: 532.6 Å³ per cell
data_NdHo3Mg6
_chemical_formula_sum 'Nd2 Ho6 Mg12'
_cell_length_a 5.295
_cell_length_b 9.264
_cell_length_c 11.303
_cell_angle_alpha 106.16
_cell_angle_beta 90.00
_cell_angle_gamma 90.00
_symmetry_space_group_name_H-M 'P 1'
_symmetry_Int_Tables_number 1
_symmetry_space_group_name_Hall 'P 1'
loop_
_atom_site_label
_atom_site_type_symbol
_atom_site_fract_x
_atom_site_fract_y
_atom_site_fract_z
Mg1 Mg 0.250 0.050 0.905
Mg2 Mg 0.250 0.444 0.100
Mg3 Mg 0.750 0.148 0.703
Mg4 Mg 0.250 0.654 0.706
Mg5 Mg 0.750 0.346 0.294
Mg6 Mg 0.250 0.148 0.196
Mg7 Mg 0.250 0.251 0.495
Mg8 Mg 0.750 0.749 0.505
Mg9 Mg 0.250 0.852 0.297
Mg10 Mg 0.750 0.950 0.095
Mg11 Mg 0.750 0.852 0.804
Mg12 Mg 0.750 0.556 0.900
Ho1 Ho 0.750 0.456 0.604
Ho2 Ho 0.250 0.544 0.396
Ho3 Ho 0.750 0.648 0.201
Ho4 Ho 0.250 0.352 0.799
Ho5 Ho 0.750 0.250 0.998
Ho6 Ho 0.250 0.750 0.002
Nd1 Nd 0.750 0.054 0.395
Nd2 Nd 0.250 0.946 0.605

***

# 12
# NbPd7Pt2, optimized geometry, DFT PBE
# - Theoretical density: 11.41 g/cm3
# - SG: Cmmm (65)
# - ΔH_f (0 K): 0.13 eV/atom
# - Total moment: 0.00 μB/f.u.
# - Final energy: -5.72 eV per atom
# - V: 178.7 Å³ per cell
data_NbPd7Pt2
_chemical_formula_sum 'Nb1 Pd7 Pt2'
_cell_length_a 2.720
_cell_length_b 8.718
_cell_length_c 8.718
_cell_angle_alpha 120.19
_cell_angle_beta 90.00
_cell_angle_gamma 90.00
_symmetry_space_group_name_H-M 'P 1'
_symmetry_Int_Tables_number 1
_symmetry_space_group_name_Hall 'P 1'
loop_
_atom_site_label
_atom_site_type_symbol
_atom_site_fract_x
_atom_site_fract_y
_atom_site_fract_z
Pt1 Pt 0.500 0.195 0.805
Pt2 Pt 0.500 0.805 0.195
Pd1 Pd 0.000 0.345 0.655
Pd2 Pd 0.000 0.655 0.345
Pd3 Pd 0.500 0.676 0.859
Pd4 Pd 0.500 0.859 0.676
Pd5 Pd 0.500 0.141 0.324
Pd6 Pd 0.500 0.500 0.500
Pd7 Pd 0.500 0.324 0.141
Nb1 Nb 0.000 0.000 0.000